*one*
## FeCo3Mo (PBE)

Data for a relaxed structure of FeCo3Mo.

Computed properties:
For the total moment, the calculation gives 1.755 μB/atom. Its density of states at the Fermi level is 1.42 states/eV/atom.

Cell lengths 4.183, 4.183, 4.183 Å; angles 90.00, 90.00, 90.00 degrees
Space group Pm-3m (No. 221)
Symmetry-distinct sites (fractional):
Fe 0.000 0.000 0.000 x1
Co 0.000 0.000 0.500 x3
Mo 0.500 0.500 0.500 x1


*two*
## FeCo3Mo (PBE)

Data for a relaxed structure of FeCo3Mo.

Computed properties:
For the total moment, the calculation gives 0.941 μB/atom. Its density of states at the Fermi level is 1.25 states/eV/atom.

Cell lengths 4.634, 12.547, 4.354 Å; angles 90.00, 90.00, 90.00 degrees
Space group Cmcm (No. 63)
Symmetry-distinct sites (fractional):
Fe 0.000 0.058 0.250 x4
Co 0.000 0.500 0.000 x4
Co 0.241 0.138 0.750 x8
Mo 0.000 0.307 0.750 x4


*three*
## FeCo3Mo (PBE)

Data for a relaxed structure of FeCo3Mo.

Computed properties:
For the total moment, the calculation gives 0.168 μB/atom. Its density of states at the Fermi level is 3.10 states/eV/atom.

Cell lengths 4.339, 4.339, 4.339 Å; angles 90.00, 90.00, 90.00 degrees
Space group Pm-3m (No. 221)
Symmetry-distinct sites (fractional):
Fe 0.000 0.000 0.000 x1
Co 0.000 0.500 0.500 x3
Mo 0.500 0.500 0.500 x1


*two* is favored, and the nearest alternative lies 943 meV per atom above it.


*one*
## FeCo4Mo (PBE)

Data for a relaxed structure of FeCo4Mo.

Computed properties:
For the total moment, the calculation gives 0.847 μB/atom. Its density of states at the Fermi level is 1.04 states/eV/atom.

Cell lengths 4.0016, 4.0016, 5.0007 Å; angles 90.00, 90.00, 120.00 degrees
Space group P6/mmm (No. 191)
Symmetry-distinct sites (fractional):
Fe 0.0000 0.0000 0.0000 x1
Co 0.3333 0.6667 0.2382 x4
Mo 0.0000 0.0000 0.5000 x1


*two*
## FeCo4Mo (PBE)

Data for a relaxed structure of FeCo4Mo.

Computed properties:
For the total moment, the calculation gives 0.995 μB/atom. Its density of states at the Fermi level is 1.37 states/eV/atom.

Cell lengths 6.553, 6.553, 6.553 Å; angles 90.00, 90.00, 90.00 degrees
Space group F-43m (No. 216)
Symmetry-distinct sites (fractional):
Fe 0.000 0.000 0.000 x4
Co 0.125 0.125 0.375 x16
Mo 0.250 0.250 0.750 x4


*two* is favored, and the nearest alternative lies 41 meV per atom above it.


*one*
## FeCoMo2N (PBE)

Data for a relaxed structure of FeCoMo2N.

Computed properties:
For the total moment, the calculation gives 0.482 μB/atom. Its density of states at the Fermi level is 1.21 states/eV/atom.

Cell lengths 4.065, 4.065, 3.715 Å; angles 90.00, 90.00, 90.00 degrees
Space group P4/mmm (No. 123)
Symmetry-distinct sites (fractional):
Fe 0.000 0.000 0.000 x1
Co 0.500 0.500 0.000 x1
Mo 0.000 0.500 0.500 x2
N 0.000 0.000 0.500 x1


*two*
## FeCoMo2N (PBE)

Data for a relaxed structure of FeCoMo2N.

Computed properties:
For the total moment, the calculation gives 0.464 μB/atom. Its density of states at the Fermi level is 0.70 states/eV/atom.

Cell lengths 4.092, 4.092, 3.690 Å; angles 90.00, 90.00, 90.00 degrees
Space group P4/mmm (No. 123)
Symmetry-distinct sites (fractional):
Fe 0.000 0.000 0.000 x1
Co 0.500 0.500 0.000 x1
Mo 0.000 0.500 0.500 x2
N 0.500 0.500 0.500 x1


*two* is favored, and the nearest alternative lies 29 meV per atom above it.